(1)
# YCr2TcPd

A relaxed structure of YCr2TcPd (PBE-GGA, the Alexandria database).

Calculated values
volume	111.2	Å³ per cell
density of states at the Fermi level	6.22	states/eV/f.u.
symmetry	P4/mmm
total moment	7.09	μB per cell
formation energy	5.2	eV per formula unit
DFT total energy	-36.059	eV for the cell shown

a = 4.8157 Å, b = 4.7950 Å, c = 4.8157 Å
α = 90.00°, β = 90.00°, γ = 90.00°
Last column: nearest neighbours and their distance in Å.
Positions (direct):
1 Y 0.5000 0.5000 0.5000  8 Cr 3.40, 4 Tc 3.41
2 Cr 0.0000 0.0000 0.5000  2 Pd 2.41
3 Cr 0.5000 0.0000 0.0000  2 Pd 2.41
4 Tc 0.0000 0.5000 0.0000  2 Pd 2.40
5 Pd 0.0000 0.0000 0.0000  2 Tc 2.40, 4 Cr 2.41


(2)
# SrCaAsPd

A relaxed structure of SrCaAsPd (PBE-GGA, the Alexandria database).

Calculated values
volume	98.8	Å³ per cell
density of states at the Fermi level	1.58	states/eV/f.u.
symmetry	F-43m
total moment	0.00	μB per cell
formation energy	-3.2	eV per formula unit
DFT total energy	-16.685	eV for the cell shown

a = 5.1888 Å, b = 5.1888 Å, c = 5.1888 Å
α = 60.00°, β = 60.00°, γ = 60.00°
Last column: nearest neighbours and their distance in Å.
Positions (direct):
1 Sr 0.2500 0.2500 0.2500  4 Pd 3.18, 4 As 3.18
2 As 0.0000 0.0000 0.0000  4 Sr 3.18, 4 Ca 3.18
3 Ca 0.7500 0.7500 0.7500  4 As 3.18, 4 Pd 3.18
4 Pd 0.5000 0.5000 0.5000  4 Ca 3.18, 4 Sr 3.18


(3)
# AcSiOsF

A relaxed structure of AcSiOsF (PBE-GGA, the Alexandria database).

Calculated values
volume	154.5	Å³ per cell
density of states at the Fermi level	1.75	states/eV/f.u.
energy relative to the elements, uncorrected	-171.2	kJ per mole of atoms
symmetry	P4/nmm
total moment	0.00	μB per cell
DFT total energy	-59.458	eV for the cell shown

a = 4.2773 Å, b = 4.2773 Å, c = 8.4436 Å
α = 90.00°, β = 90.00°, γ = 90.00°
Last column: nearest neighbours and their distance in Å.
Positions (direct):
1 Ac 0.5000 0.0000 0.6912  4 F 2.68
2 Ac 0.0000 0.5000 0.3088  4 F 2.68
3 Si 0.0000 0.5000 0.8675  4 Os 2.41
4 Si 0.5000 0.0000 0.1325  4 Os 2.41
5 Os 0.5000 0.5000 0.0000  4 Si 2.41
6 Os 0.0000 0.0000 0.0000  4 Si 2.41
7 F 0.0000 0.0000 0.5000  4 Ac 2.68
8 F 0.5000 0.5000 0.5000  4 Ac 2.68


(4)
# YAgPt

A relaxed structure of YAgPt (PBE-GGA, the Alexandria database).

Calculated values
volume	71.7	Å³ per cell
density of states at the Fermi level	1.29	states/eV/f.u.
symmetry	F-43m
total moment	0.00	μB per cell
formation energy	-2.0	eV per formula unit
polymorph energy (0 for the lowest one)	169.8	meV per atom
DFT total energy	-17.326	eV for the cell shown

a = 4.6632 Å, b = 4.6632 Å, c = 4.6632 Å
α = 60.00°, β = 60.00°, γ = 60.00°
Last column: nearest neighbours and their distance in Å.
Positions (direct):
1 Ag 0.5000 0.5000 0.5000  4 Pt 2.86
2 Pt 0.7500 0.7500 0.7500  4 Y 2.86, 4 Ag 2.86
3 Y 0.0000 0.0000 0.0000  4 Pt 2.86


(5)
# Rb3Ce2ZrS6

A relaxed structure of Rb3Ce2ZrS6 (PBE-GGA, the Alexandria database).

Calculated values
volume	334.2	Å³ per cell
density of states at the Fermi level	15.00	states/eV/f.u.
energy relative to the elements, uncorrected	-158.4	kJ per mole of atoms
symmetry	C2/m
total moment	3.00	μB per cell
DFT total energy	-67.788	eV for the cell shown

a = 7.0731 Å, b = 7.0731 Å, c = 8.0666 Å
α = 98.42°, β = 98.42°, γ = 120.00°
Last column: nearest neighbours and their distance in Å.
Positions (direct):
1 Rb 0.1684 0.8316 0.5000  6 S 3.30-3.42
2 Rb 0.8316 0.1684 0.5000  6 S 3.30-3.42
3 Rb 0.5000 0.5000 0.5000  6 S 3.29-3.43
4 Ce 0.3335 0.6665 0.0000  6 S 2.85
5 Ce 0.6665 0.3335 0.0000  6 S 2.85
6 Zr 0.0000 0.0000 0.0000  6 S 2.68
7 S 0.9354 0.6208 0.8064  1 Zr 2.68, 2 Ce 2.85
8 S 0.7504 0.7504 0.1943  1 Zr 2.68, 2 Ce 2.85
9 S 0.0646 0.3792 0.1936  1 Zr 2.68, 2 Ce 2.85
10 S 0.6208 0.9354 0.8064  1 Zr 2.68, 2 Ce 2.85
11 S 0.2496 0.2496 0.8057  1 Zr 2.68, 2 Ce 2.85
12 S 0.3792 0.0646 0.1936  1 Zr 2.68, 2 Ce 2.85


(6)
# TlAgPb

A relaxed structure of TlAgPb (PBE-GGA, the Alexandria database).

Calculated values
volume	158.8	Å³ per cell
density of states at the Fermi level	1.21	states/eV/f.u.
symmetry	P1
total moment	0.00	μB per cell
formation energy	0.2	eV per formula unit
DFT total energy	-17.390	eV for the cell shown

a = 3.3824 Å, b = 8.5083 Å, c = 6.5312 Å
α = 118.58°, β = 104.99°, γ = 78.46°
Last column: nearest neighbours and their distance in Å.
Positions (direct):
1 Pb 0.1876 0.2945 0.9210  4 Ag 3.14-3.16, 2 Pb 3.38
2 Pb 0.8419 0.8895 0.8191  3 Ag 3.18-3.20, 2 Pb 3.38, 3 Tl 3.49-3.51
3 Tl 0.4822 0.1550 0.3730  3 Ag 3.21-3.26, 4 Tl 3.38-3.47, 3 Pb 3.53-3.54
4 Tl 0.1392 0.7682 0.2828  4 Ag 3.15-3.26, 4 Tl 3.38-3.47, 3 Pb 3.49-3.51
5 Ag 0.4954 0.5588 0.7946  2 Ag 2.90-2.91, 4 Pb 3.15-3.18, 2 Tl 3.21-3.24
6 Ag 0.8255 0.4925 0.3888  2 Ag 2.90-2.91, 3 Pb 3.14-3.20, 3 Tl 3.15-3.24


(7)
# CsPmTlO3

A relaxed structure of CsPmTlO3 (PBE-GGA, the Alexandria database).

Calculated values
volume	306.8	Å³ per cell
density of states at the Fermi level	0.69	states/eV/f.u.
energy relative to the elements, uncorrected	-181.3	kJ per mole of atoms
symmetry	P2_1/m
total moment	0.00	μB per cell
DFT total energy	-68.236	eV for the cell shown

a = 3.6602 Å, b = 11.9422 Å, c = 7.6718 Å
α = 113.83°, β = 90.00°, γ = 90.00°
Last column: nearest neighbours and their distance in Å.
Positions (direct):
1 Cs 0.2500 0.3065 0.2576  5 O 2.89-3.22
2 Cs 0.7500 0.6935 0.7424  5 O 2.89-3.22
3 Pm 0.2500 0.6242 0.1658  6 O 2.34-2.50
4 Pm 0.7500 0.3758 0.8342  6 O 2.34-2.50
5 Tl 0.2500 0.1164 0.5578  3 O 2.20-2.32
6 Tl 0.7500 0.8836 0.4422  3 O 2.20-2.32
7 O 0.7500 0.7476 0.1448  1 Tl 2.20, 2 Pm 2.40
8 O 0.2500 0.2524 0.8552  1 Tl 2.20, 2 Pm 2.40
9 O 0.2500 0.7845 0.5000  2 Tl 2.32, 1 Pm 2.50
10 O 0.7500 0.2155 0.5000  2 Tl 2.32, 1 Pm 2.50
11 O 0.7500 0.4960 0.1618  3 Pm 2.34-2.38
12 O 0.2500 0.5040 0.8382  3 Pm 2.34-2.38


(8)
# Ho3O

A relaxed structure of Ho3O (PBE-GGA, the Alexandria database).

Calculated values
volume	111.1	Å³ per cell
density of states at the Fermi level	4.37	states/eV/f.u.
energy relative to the elements, uncorrected	-120.4	kJ per mole of atoms
symmetry	P-4m2
total moment	0.54	μB per cell
DFT total energy	-23.682	eV for the cell shown

a = 3.6092 Å, b = 3.6067 Å, c = 8.5346 Å
α = 90.00°, β = 90.00°, γ = 90.00°
Last column: nearest neighbours and their distance in Å.
Positions (direct):
1 Ho 0.0000 0.5000 0.1445  2 O 2.20
2 Ho 0.5000 0.0000 0.4387  2 O 2.20
3 Ho 0.5000 0.5000 0.7917  8 Ho 3.51-3.61
4 O 0.0000 0.0000 0.2917  4 Ho 2.20


(9)
# LiPd2W

A relaxed structure of LiPd2W (PBE-GGA, the Alexandria database).

Calculated values
volume	57.7	Å³ per cell
density of states at the Fermi level	1.69	states/eV/f.u.
symmetry	P4/mmm
total moment	0.00	μB per cell
formation energy	-0.7	eV per formula unit
DFT total energy	-25.944	eV for the cell shown

a = 2.8214 Å, b = 2.8214 Å, c = 7.2534 Å
α = 90.00°, β = 90.00°, γ = 90.00°
Last column: nearest neighbours and their distance in Å.
Positions (direct):
1 Pd 0.0000 0.0000 0.7634  4 Li 2.63, 4 W 2.76, 4 Pd 2.82
2 Pd 0.0000 0.0000 0.2366  4 Li 2.63, 4 W 2.76, 4 Pd 2.82
3 W 0.5000 0.5000 0.5000  8 Pd 2.76, 4 W 2.82
4 Li 0.5000 0.5000 0.0000  8 Pd 2.63, 4 Li 2.82


(10)
# DyScHgIr

A relaxed structure of DyScHgIr (PBE-GGA, the Alexandria database).

Calculated values
volume	83.5	Å³ per cell
density of states at the Fermi level	2.18	states/eV/f.u.
symmetry	F-43m
total moment	0.00	μB per cell
formation energy	-2.4	eV per formula unit
DFT total energy	-22.510	eV for the cell shown

a = 4.9067 Å, b = 4.9067 Å, c = 4.9067 Å
α = 60.00°, β = 60.00°, γ = 60.00°
Last column: nearest neighbours and their distance in Å.
Positions (direct):
1 Sc 0.5000 0.5000 0.5000  4 Hg 3.00, 4 Ir 3.00
2 Ir 0.7500 0.7500 0.7500  4 Dy 3.00, 4 Sc 3.00
3 Hg 0.2500 0.2500 0.2500  4 Dy 3.00, 4 Sc 3.00
4 Dy 0.0000 0.0000 0.0000  4 Ir 3.00, 4 Hg 3.00


(11)
# CrBiP2S

A relaxed structure of CrBiP2S (PBE-GGA, the Alexandria database).

Calculated values
volume	143.8	Å³ per cell
density of states at the Fermi level	4.92	states/eV/f.u.
energy relative to the elements, uncorrected	127.1	kJ per mole of atoms
symmetry	P4/mmm
total moment	2.66	μB per cell
polymorph energy (0 for the lowest one)	1003.4	meV per atom
DFT total energy	-21.866	eV for the cell shown

a = 5.2567 Å, b = 5.2567 Å, c = 5.2024 Å
α = 90.00°, β = 90.00°, γ = 90.00°
Last column: nearest neighbours and their distance in Å.
Positions (direct):
1 Cr 0.5000 0.5000 0.5000  8 P 3.70, 4 S 3.72
2 S 0.0000 0.0000 0.5000  2 Bi 2.60
3 Bi 0.0000 0.0000 0.0000  2 S 2.60, 4 P 2.63
4 P 0.0000 0.5000 0.0000  2 Bi 2.63
5 P 0.5000 0.0000 0.0000  2 Bi 2.63


(12)
# Sc2PtBr2

A relaxed structure of Sc2PtBr2 (PBE-GGA, the Alexandria database).

Calculated values
volume	244.1	Å³ per cell
density of states at the Fermi level	2.73	states/eV/f.u.
energy relative to the elements, uncorrected	-73.4	kJ per mole of atoms
symmetry	P4/mbm
total moment	0.00	μB per cell
polymorph energy (0 for the lowest one)	0.0	meV per atom
DFT total energy	-51.707	eV for the cell shown

a = 7.2000 Å, b = 7.2000 Å, c = 4.7092 Å
α = 90.00°, β = 90.00°, γ = 90.00°
Last column: nearest neighbours and their distance in Å.
Positions (direct):
1 Sc 0.3105 0.8105 0.0000  2 Pt 2.62, 2 Br 2.78
2 Sc 0.8105 0.6895 0.0000  2 Pt 2.62, 2 Br 2.78
3 Sc 0.6895 0.1895 0.0000  2 Pt 2.62, 2 Br 2.78
4 Sc 0.1895 0.3105 0.0000  2 Pt 2.62, 2 Br 2.78
5 Br 0.1663 0.6663 0.5000  2 Sc 2.78
6 Br 0.6663 0.8337 0.5000  2 Sc 2.78
7 Br 0.8337 0.3337 0.5000  2 Sc 2.78
8 Br 0.3337 0.1663 0.5000  2 Sc 2.78
9 Pt 0.0000 0.0000 0.0000  4 Sc 2.62
10 Pt 0.5000 0.5000 0.0000  4 Sc 2.62


(13)
# RbPbAu

A relaxed structure of RbPbAu (PBE-GGA, the Alexandria database).

Calculated values
volume	199.9	Å³ per cell
density of states at the Fermi level	0.63	states/eV/f.u.
symmetry	Ima2
total moment	0.00	μB per cell
formation energy	-0.6	eV per formula unit
polymorph energy (0 for the lowest one)	0.0	meV per atom
DFT total energy	-17.058	eV for the cell shown

a = 5.4407 Å, b = 6.6467 Å, c = 8.4085 Å
α = 129.24°, β = 90.00°, γ = 114.16°
Last column: nearest neighbours and their distance in Å.
Positions (direct):
1 Au 0.7103 0.4207 0.0139  2 Pb 2.88-2.94, 2 Au 3.16
2 Au 0.2103 0.4205 0.8234  2 Pb 2.88-2.94, 2 Au 3.16
3 Pb 0.0396 0.0792 0.3516  2 Au 2.88-2.94
4 Pb 0.5394 0.0788 0.1442  2 Au 2.88-2.94
5 Rb 0.8786 0.7571 0.7570  4 Pb 3.61-3.91, 6 Au 3.66-4.03, 2 Rb 3.95
6 Rb 0.3784 0.7569 0.4164  4 Pb 3.60-3.91, 6 Au 3.66-4.03, 2 Rb 3.95


(14)
# TcNiSb4

A relaxed structure of TcNiSb4 (PBE-GGA, the Alexandria database).

Calculated values
volume	263.4	Å³ per cell
density of states at the Fermi level	3.13	states/eV/f.u.
energy relative to the elements, uncorrected	-9.4	kJ per mole of atoms
symmetry	C2/c
total moment	0.00	μB per cell
polymorph energy (0 for the lowest one)	0.0	meV per atom
DFT total energy	-66.444	eV for the cell shown

a = 6.5011 Å, b = 5.5605 Å, c = 8.4717 Å
α = 109.60°, β = 112.95°, γ = 88.91°
Last column: nearest neighbours and their distance in Å.
Positions (direct):
1 Tc 0.4568 0.2068 0.9135  6 Sb 2.65-2.76
2 Tc 0.5432 0.7932 0.0865  6 Sb 2.65-2.76
3 Ni 0.1894 0.4394 0.3788  6 Sb 2.55-2.59
4 Ni 0.8106 0.5606 0.6212  6 Sb 2.55-2.59
5 Sb 0.1343 0.8894 0.8836  1 Ni 2.55, 2 Tc 2.65-2.70
6 Sb 0.7493 0.4942 0.8836  1 Ni 2.55, 2 Tc 2.65-2.70
7 Sb 0.8698 0.7213 0.3874  2 Ni 2.58-2.59, 1 Tc 2.76
8 Sb 0.1302 0.2787 0.6126  2 Ni 2.58-2.59, 1 Tc 2.76
9 Sb 0.4824 0.8339 0.6126  2 Ni 2.58-2.59, 1 Tc 2.76
10 Sb 0.2507 0.5058 0.1164  1 Ni 2.55, 2 Tc 2.65-2.70
11 Sb 0.5176 0.1661 0.3874  2 Ni 2.58-2.59, 1 Tc 2.76
12 Sb 0.8657 0.1106 0.1164  1 Ni 2.55, 2 Tc 2.65-2.70


(15)
# Y2CoPt

A relaxed structure of Y2CoPt (PBE-GGA, the Alexandria database).

Calculated values
volume	85.1	Å³ per cell
density of states at the Fermi level	2.78	states/eV/f.u.
symmetry	Amm2
total moment	0.00	μB per cell
formation energy	-2.8	eV per formula unit
DFT total energy	-28.844	eV for the cell shown

a = 5.6440 Å, b = 5.6440 Å, c = 4.1190 Å
α = 90.00°, β = 90.00°, γ = 40.46°
Last column: nearest neighbours and their distance in Å.
Positions (direct):
1 Y 0.0180 0.0180 0.1250  4 Co 2.92, 3 Pt 3.01
2 Y 0.7282 0.7282 0.6250  3 Co 2.93-3.07, 4 Pt 2.94
3 Co 0.4520 0.4520 0.6250  2 Pt 2.60
4 Pt 0.3019 0.3019 0.1250  2 Co 2.60


(16)
# BaLi2SiNi

A relaxed structure of BaLi2SiNi (PBE-GGA, the Alexandria database).

Calculated values
volume	106.6	Å³ per cell
density of states at the Fermi level	2.54	states/eV/f.u.
energy relative to the elements, uncorrected	-18.3	kJ per mole of atoms
symmetry	P4/mmm
total moment	0.14	μB per cell
polymorph energy (0 for the lowest one)	0.0	meV per atom
DFT total energy	-17.902	eV for the cell shown

a = 4.9230 Å, b = 4.9230 Å, c = 4.3986 Å
α = 90.00°, β = 90.00°, γ = 90.00°
Last column: nearest neighbours and their distance in Å.
Positions (direct):
1 Ni 0.0000 0.0000 0.0000  2 Si 2.20, 4 Li 2.46
2 Si 0.0000 0.0000 0.5000  2 Ni 2.20
3 Ba 0.5000 0.5000 0.5000  8 Li 3.30, 4 Si 3.48
4 Li 0.0000 0.5000 0.0000  2 Ni 2.46
5 Li 0.5000 0.0000 0.0000  2 Ni 2.46


(17)
# Ca2ZrCdCo

A relaxed structure of Ca2ZrCdCo (PBE-GGA, the Alexandria database).

Calculated values
volume	167.1	Å³ per cell
density of states at the Fermi level	12.56	states/eV/f.u.
symmetry	P4/mmm
total moment	1.03	μB per cell
formation energy	5.9	eV per formula unit
DFT total energy	-14.672	eV for the cell shown

a = 5.5690 Å, b = 5.3865 Å, c = 5.5690 Å
α = 90.00°, β = 90.00°, γ = 90.00°
Last column: nearest neighbours and their distance in Å.
Positions (direct):
1 Ca 0.0000 0.0000 0.5000  2 Cd 2.78
2 Ca 0.5000 0.0000 0.0000  2 Cd 2.78
3 Co 0.5000 0.5000 0.5000  8 Ca 3.87, 4 Zr 3.94
4 Zr 0.0000 0.5000 0.0000  2 Cd 2.69
5 Cd 0.0000 0.0000 0.0000  2 Zr 2.69, 4 Ca 2.78


(18)
# ZrTcCl2

A relaxed structure of ZrTcCl2 (PBE-GGA, the Alexandria database).

Calculated values
volume	69.0	Å³ per cell
density of states at the Fermi level	3.11	states/eV/f.u.
energy relative to the elements, uncorrected	12.6	kJ per mole of atoms
symmetry	I-4m2
total moment	0.55	μB per cell
polymorph energy (0 for the lowest one)	685.5	meV per atom
DFT total energy	-22.086	eV for the cell shown

a = 5.5301 Å, b = 5.5301 Å, c = 5.5301 Å
α = 140.08°, β = 140.08°, γ = 57.73°
Last column: nearest neighbours and their distance in Å.
Positions (direct):
1 Tc 0.5000 0.5000 0.0000  4 Cl 2.67
2 Zr 0.7500 0.2500 0.5000  4 Cl 2.67
3 Cl 0.0000 0.0000 0.0000  4 Tc 2.67
4 Cl 0.2500 0.7500 0.5000  4 Zr 2.67


(19)
# K3Tm3AlS8

A relaxed structure of K3Tm3AlS8 (PBE-GGA, the Alexandria database).

Calculated values
volume	391.2	Å³ per cell
density of states at the Fermi level	11.24	states/eV/f.u.
energy relative to the elements, uncorrected	-153.3	kJ per mole of atoms
symmetry	R-3m
total moment	0.00	μB per cell
DFT total energy	-77.305	eV for the cell shown

a = 7.7287 Å, b = 7.7338 Å, c = 8.7784 Å
α = 116.17°, β = 90.00°, γ = 119.98°
Last column: nearest neighbours and their distance in Å.
Positions (direct):
1 K 0.0000 0.0000 0.0000  6 S 3.18-3.20
2 K 0.0000 0.5000 0.0000  6 S 3.18-3.20
3 K 0.5000 0.5000 0.0000  6 S 3.18-3.20
4 Tm 0.5000 0.0000 0.5000  6 S 2.70-2.71
5 Tm 0.5000 0.5000 0.5000  6 S 2.70-2.71
6 Tm 0.0000 0.5000 0.5000  6 S 2.70-2.71
7 Al 0.0000 0.0000 0.5000  6 S 2.50
8 S 0.2665 0.5330 0.2996  3 Tm 2.70
9 S 0.7335 0.4670 0.7004  3 Tm 2.70
10 S 0.7832 0.5665 0.3138  1 Al 2.50, 2 Tm 2.71
11 S 0.2168 0.4335 0.6862  1 Al 2.50, 2 Tm 2.71
12 S 0.7834 0.0305 0.3139  1 Al 2.50, 2 Tm 2.71
13 S 0.2166 0.9695 0.6861  1 Al 2.50, 2 Tm 2.71
14 S 0.2472 0.0305 0.3138  1 Al 2.50, 2 Tm 2.71
15 S 0.7528 0.9695 0.6862  1 Al 2.50, 2 Tm 2.71